# PBE In2ReF, optimized geometry
# M_tot = 0.51 μB per atom
# uncorrected formation energy = 169 meV per atom
# excess energy over the best structure of this formula in the dataset = 67 meV per atom
# final energy = -19.1 eV/f.u.
# calculated volume = 18.64 Å³ per atom
data_In2ReF
_cell_length_a 6.681
_cell_length_b 6.681
_cell_length_c 6.681
_cell_angle_alpha 90.00
_cell_angle_beta 90.00
_cell_angle_gamma 90.00
_space_group_name_H-M_alt 'F m -3 m'
_space_group_IT_number 225
_space_group_name_Hall '-F 4 2 3'
loop_
_atom_site_label
_atom_site_type_symbol
_atom_site_fract_x
_atom_site_fract_y
_atom_site_fract_z
In1 In 0.250 0.250 0.250
Re1 Re 0.000 0.000 0.000
F1 F 0.000 0.000 0.500



# PBE In3ReF, optimized geometry
# M_tot = 0.03 μB per atom
# uncorrected formation energy = 134 meV per atom
# excess energy over the best structure of this formula in the dataset = 0 meV per atom
# final energy = -21.9 eV/f.u.
# calculated volume = 28.63 Å³ per atom
data_In3ReF
_cell_length_a 5.231
_cell_length_b 5.231
_cell_length_c 5.231
_cell_angle_alpha 90.00
_cell_angle_beta 90.00
_cell_angle_gamma 90.00
_space_group_name_H-M_alt 'P m -3 m'
_space_group_IT_number 221
_space_group_name_Hall '-P 4 2 3'
loop_
_atom_site_label
_atom_site_type_symbol
_atom_site_fract_x
_atom_site_fract_y
_atom_site_fract_z
In1 In 0.000 0.000 0.500
Re1 Re 0.000 0.000 0.000
F1 F 0.500 0.500 0.500



# PBE InReF3, optimized geometry
# M_tot = 1.10 μB per atom
# uncorrected formation energy = -493 meV per atom
# excess energy over the best structure of this formula in the dataset = 347 meV per atom
# final energy = -23.3 eV/f.u.
# calculated volume = 18.24 Å³ per atom
data_InReF3
_cell_length_a 4.501
_cell_length_b 4.501
_cell_length_c 4.501
_cell_angle_alpha 90.00
_cell_angle_beta 90.00
_cell_angle_gamma 90.00
_space_group_name_H-M_alt 'P m -3 m'
_space_group_IT_number 221
_space_group_name_Hall '-P 4 2 3'
loop_
_atom_site_label
_atom_site_type_symbol
_atom_site_fract_x
_atom_site_fract_y
_atom_site_fract_z
In1 In 0.000 0.000 0.000
Re1 Re 0.500 0.500 0.500
F1 F 0.000 0.000 0.500



# PBE In3ReF, optimized geometry
# M_tot = 0.37 μB per atom
# uncorrected formation energy = 320 meV per atom
# excess energy over the best structure of this formula in the dataset = 187 meV per atom
# final energy = -20.9 eV/f.u.
# calculated volume = 20.31 Å³ per atom
data_In3ReF
_cell_length_a 4.666
_cell_length_b 4.666
_cell_length_c 4.666
_cell_angle_alpha 90.00
_cell_angle_beta 90.00
_cell_angle_gamma 90.00
_space_group_name_H-M_alt 'P m -3 m'
_space_group_IT_number 221
_space_group_name_Hall '-P 4 2 3'
loop_
_atom_site_label
_atom_site_type_symbol
_atom_site_fract_x
_atom_site_fract_y
_atom_site_fract_z
In1 In 0.000 0.000 0.500
Re1 Re 0.500 0.500 0.500
F1 F 0.000 0.000 0.000